No. 1
Computed, not measured: a relaxed structure of Tb4Y2Sn3O2 at the PBE level of DFT.

It has space group I4/mmm (No. 139), with a = 4.6688 Å, b = 4.6688 Å, c = 25.0340 Å, α = 90.00°, β = 90.00° and γ = 90.00°. The inequivalent atoms are Tb at (0.0000, 0.5000, 0.0835), Y at (0.0000, 0.0000, 0.1941), Sn at (0.0000, 0.0000, 0.3213), Sn at (0.0000, 0.0000, 0.5000) and O at (0.0000, 0.0000, 0.0992).

The total energy comes out at -6.38 eV/atom. The calculation puts the density of states at the Fermi level at 12.0 states/eV per cell.


No. 2
Computed, not measured: a relaxed structure of Tb2Y4Sn3O2 at the PBE level of DFT.

It has space group I4/mmm (No. 139), with a = 4.6614 Å, b = 4.6614 Å, c = 25.0342 Å, α = 90.00°, β = 90.00° and γ = 90.00°. The inequivalent atoms are Tb at (0.0000, 0.0000, 0.1937), Y at (0.0000, 0.5000, 0.0833), Sn at (0.0000, 0.0000, 0.3218), Sn at (0.0000, 0.0000, 0.5000) and O at (0.0000, 0.0000, 0.0984).

The total energy comes out at -6.71 eV/atom. The calculation puts the density of states at the Fermi level at 14.0 states/eV per cell.


- The lowest total energy belongs to which entry?
  Tb2Y4Sn3O2